DFT (PBEsol) results for a geometry-optimized Al2SiMo structure.

## Properties
**Uncorrected formation energy**: -22.7 kJ/mol of formula units

The structure in POSCAR format:
```
Al2SiMo
1.0
5.236 0.000 0.000
0.000 8.025 0.000
0.000 0.000 2.792
Al Si Mo
4 2 2
Cartesian
1.309 2.006 0.000
1.309 6.019 0.000
3.927 2.006 0.000
3.927 6.019 0.000
0.000 0.000 1.396
2.618 4.013 1.396
0.000 4.013 1.396
2.618 0.000 1.396
```

=====

DFT (PBEsol) results for a geometry-optimized AlSi2Mo structure.

## Properties
**Uncorrected formation energy**: 3.4 kJ/mol of formula units

The structure in POSCAR format:
```
AlSi2Mo
1.0
4.164 0.000 0.000
0.000 4.164 0.000
0.000 0.000 3.223
Al Si Mo
1 2 1
Cartesian
0.000 0.000 0.000
0.000 2.082 1.612
2.082 0.000 1.612
2.082 2.082 0.000
```

=====

DFT (PBEsol) results for a geometry-optimized AlSiMo2 structure.

## Properties
**Uncorrected formation energy**: -47.2 kJ/mol of formula units
**Energy relative to the lowest polymorph listed for this composition**: 205 meV per atom

The structure in POSCAR format:
```
AlSiMo2
1.0
3.822 0.000 0.000
0.000 3.822 0.000
0.000 0.000 7.862
Al Si Mo
2 2 4
Cartesian
0.000 0.000 0.000
1.911 1.911 3.931
0.000 1.911 5.897
1.911 0.000 1.966
0.000 0.000 3.931
0.000 1.911 1.966
1.911 0.000 5.897
1.911 1.911 0.000
```

=====

DFT (PBEsol) results for a geometry-optimized AlSiMo2 structure.

## Properties
**Uncorrected formation energy**: -35.7 kJ/mol of formula units
**Energy relative to the lowest polymorph listed for this composition**: 234 meV per atom

The structure in POSCAR format:
```
AlSiMo2
1.0
6.094 0.000 0.000
0.000 6.094 0.000
0.000 0.000 6.094
Al Si Mo
4 4 8
Cartesian
0.000 0.000 0.000
0.000 3.047 3.047
3.047 0.000 3.047
3.047 3.047 0.000
1.523 1.523 1.523
1.523 4.570 4.570
4.570 1.523 4.570
4.570 4.570 1.523
0.000 0.000 3.047
0.000 3.047 0.000
1.523 1.523 4.570
1.523 4.570 1.523
3.047 0.000 0.000
3.047 3.047 3.047
4.570 1.523 1.523
4.570 4.570 4.570
```

=====

no.,DOS at the Fermi energy (states/eV per cell)
1,4.94
2,2.43
3,4.73
4,6.70